[1]
The following is a PBE-GGA calculation of a relaxed structure of Er6Cd2In, from the Alexandria database.

Cell: 10.0438 7.8263 7.2032 Å, 83.76 50.77 45.47°
With the nearest neighbours (Å) after each atom.
Fractional positions:
Er  0.1576  0.8424  0.1576  2 Cd 3.26, 2 In 3.27, 8 Er 3.50-3.52
Er  0.1748  0.4911  0.5089  3 Cd 3.27, 1 In 3.28, 8 Er 3.49-3.52
Er  0.4911  0.1748  0.8252  3 Cd 3.27, 1 In 3.28, 8 Er 3.49-3.52
Er  0.5089  0.8252  0.1748  3 Cd 3.27, 1 In 3.28, 8 Er 3.49-3.52
Er  0.8252  0.5089  0.4911  3 Cd 3.27, 1 In 3.28, 8 Er 3.49-3.52
Er  0.8424  0.1576  0.8424  2 Cd 3.26, 2 In 3.27, 8 Er 3.50-3.52
Cd  0.1665  0.1665  0.8335  8 Er 3.26-3.27, 2 In 3.50, 2 Cd 3.50
Cd  0.8335  0.8335  0.1665  8 Er 3.26-3.27, 2 In 3.50, 2 Cd 3.50
In  0.5000  0.5000  0.5000  8 Er 3.27-3.28, 4 Cd 3.50

* density of states at the Fermi level: 1.436 states/eV/atom
* magnetic moment: 1.57 μB/f.u.
* final energy: -34.01 eV/f.u.

[2]
The following is a PBE-GGA calculation of a relaxed structure of ErCd3In2, from the Alexandria database.

Cell: 8.6972 8.6972 5.7567 Å, 90.00 90.00 136.30°
With the nearest neighbours (Å) after each atom.
Fractional positions:
Er  0.1595  0.8405  0.7500  8 Cd 3.19-3.33, 4 In 3.35
Er  0.8405  0.1595  0.2500  8 Cd 3.19-3.33, 4 In 3.35
Cd  0.0894  0.4261  0.7500  5 Cd 3.05-3.34, 2 In 3.08, 3 Er 3.19-3.33
Cd  0.3264  0.6736  0.2500  6 Cd 3.05-3.28, 2 Er 3.24
Cd  0.4261  0.0894  0.2500  5 Cd 3.05-3.34, 2 In 3.08, 3 Er 3.19-3.33
Cd  0.5739  0.9106  0.7500  5 Cd 3.05-3.34, 2 In 3.08, 3 Er 3.19-3.33
Cd  0.6736  0.3264  0.7500  6 Cd 3.05-3.28, 2 Er 3.24
Cd  0.9106  0.5739  0.2500  5 Cd 3.05-3.34, 2 In 3.08, 3 Er 3.19-3.33
In  0.2459  0.2459  0.0000  3 In 2.88-3.18, 2 Cd 3.08
In  0.2459  0.2459  0.5000  3 In 2.88-3.18, 2 Cd 3.08
In  0.7541  0.7541  0.0000  3 In 2.88-3.18, 2 Cd 3.08
In  0.7541  0.7541  0.5000  3 In 2.88-3.18, 2 Cd 3.08

* density of states at the Fermi level: 0.541 states/eV/atom
* magnetic moment: 0.00 μB/f.u.
* final energy: -13.27 eV/f.u.

[3]
The following is a PBE-GGA calculation of a relaxed structure of ErCdInIr, from the Alexandria database.

Cell: 4.8667 4.8667 4.8667 Å, 60.00 60.00 60.00°
With the nearest neighbours (Å) after each atom.
Fractional positions:
Er  0.0000  0.0000  0.0000  4 Ir 2.98, 4 Cd 2.98
Cd  0.2500  0.2500  0.2500  4 In 2.98, 4 Er 2.98
In  0.5000  0.5000  0.5000  4 Ir 2.98, 4 Cd 2.98
Ir  0.7500  0.7500  0.7500  4 In 2.98, 4 Er 2.98

* density of states at the Fermi level: 0.452 states/eV/atom
* magnetic moment: 0.00 μB/f.u.
* final energy: -18.43 eV/f.u.

[4]
The following is a PBE-GGA calculation of a relaxed structure of LaEr2Cd2In2, from the Alexandria database.

Cell: 9.3673 9.3673 9.3673 Å, 30.94 30.94 30.94°
With the nearest neighbours (Å) after each atom.
Fractional positions:
La  0.0000  0.0000  0.0000  6 In 3.47, 2 Er 3.56, 6 Cd 3.79
Er  0.1330  0.1330  0.1330  3 Cd 3.09, 4 In 3.31-3.43, 3 Er 3.40
Er  0.8670  0.8670  0.8670  3 Cd 3.09, 4 In 3.31-3.43, 3 Er 3.40
Cd  0.4253  0.4253  0.4253  3 In 2.93, 3 Er 3.09
Cd  0.5747  0.5747  0.5747  3 In 2.93, 3 Er 3.09
In  0.2611  0.2611  0.2611  3 Cd 2.93
In  0.7389  0.7389  0.7389  3 Cd 2.93

* density of states at the Fermi level: 0.568 states/eV/atom
* magnetic moment: 0.00 μB/f.u.
* final energy: -23.35 eV/f.u.

[5]
The following is a PBE-GGA calculation of a relaxed structure of LaErCdIn, from the Alexandria database.

Cell: 5.4384 5.4384 5.4384 Å, 60.00 60.00 60.00°
With the nearest neighbours (Å) after each atom.
Fractional positions:
La  0.0000  0.0000  0.0000  4 Cd 3.33, 4 In 3.33
Er  0.5000  0.5000  0.5000  4 Cd 3.33, 4 In 3.33
Cd  0.7500  0.7500  0.7500  4 La 3.33, 4 Er 3.33
In  0.2500  0.2500  0.2500  4 La 3.33, 4 Er 3.33

* density of states at the Fermi level: 1.096 states/eV/atom
* magnetic moment: 0.00 μB/f.u.
* final energy: -14.75 eV/f.u.

[6]
The following is a PBE-GGA calculation of a relaxed structure of ErLuCdIn, from the Alexandria database.

Cell: 5.2292 5.2292 5.2292 Å, 60.00 60.00 60.00°
With the nearest neighbours (Å) after each atom.
Fractional positions:
Er  0.0000  0.0000  0.0000  4 Cd 3.20, 4 In 3.20
Lu  0.5000  0.5000  0.5000  4 In 3.20, 4 Cd 3.20
Cd  0.2500  0.2500  0.2500  4 Lu 3.20, 4 Er 3.20
In  0.7500  0.7500  0.7500  4 Lu 3.20, 4 Er 3.20

* density of states at the Fermi level: 0.981 states/eV/atom
* magnetic moment: 0.00 μB/f.u.
* final energy: -14.23 eV/f.u.

[7]
The following is a PBE-GGA calculation of a relaxed structure of ErMgCdIn, from the Alexandria database.

Cell: 5.1223 5.1223 5.1223 Å, 60.00 60.00 60.00°
With the nearest neighbours (Å) after each atom.
Fractional positions:
Er  0.0000  0.0000  0.0000  4 Cd 3.14, 4 In 3.14
Mg  0.5000  0.5000  0.5000  4 Cd 3.14, 4 In 3.14
Cd  0.2500  0.2500  0.2500  4 Mg 3.14, 4 Er 3.14
In  0.7500  0.7500  0.7500  4 Mg 3.14, 4 Er 3.14

* energy relative to the lowest polymorph listed for this composition: 19 meV per atom
* density of states at the Fermi level: 0.284 states/eV/atom
* magnetic moment: 0.00 μB/f.u.
* final energy: -11.01 eV/f.u.

[8]
The following is a PBE-GGA calculation of a relaxed structure of ErMgCdIn, from the Alexandria database.

Cell: 4.1858 4.7341 4.8191 Å, 90.00 90.00 90.00°
With the nearest neighbours (Å) after each atom.
Fractional positions:
Er  0.0000  0.0000  0.0000  4 In 3.16, 4 Cd 3.19, 4 Mg 3.38
Mg  0.0000  0.5000  0.5000  4 Cd 3.16, 4 In 3.19, 4 Er 3.38
Cd  0.5000  0.0000  0.5000  4 Mg 3.16, 4 Er 3.19, 4 In 3.38
In  0.5000  0.5000  0.0000  4 Er 3.16, 4 Mg 3.19, 4 Cd 3.38

* energy relative to the lowest polymorph listed for this composition: 0 meV per atom
* density of states at the Fermi level: 0.354 states/eV/atom
* magnetic moment: 0.00 μB/f.u.
* final energy: -11.09 eV/f.u.

- Among the records above, which one has the highest density of states at the Fermi level?
  Er6Cd2In